Below is Pr2Cd3Ag2 after structural relaxation, with properties calculated at the GGA-PBE level.

Lattice parameters (Å, degrees): 10.4675 4.7386 7.4967 90.00 111.15 90.00
Last column: nearest neighbours and their distance in Å.
Element x y z (fractional)
1 Pr 0.1429 0.0000 0.2743  4 Ag 3.13-3.23, 3 Cd 3.39-3.43
2 Pr 0.3571 0.5000 0.7257  4 Ag 3.13-3.23, 3 Cd 3.39-3.43
3 Pr 0.6429 0.5000 0.2743  4 Ag 3.13-3.23, 3 Cd 3.39-3.43
4 Pr 0.8571 0.0000 0.7257  4 Ag 3.13-3.23, 3 Cd 3.39-3.43
5 Cd 0.0000 0.5000 0.5000  4 Ag 2.97, 2 Cd 3.02
6 Cd 0.1175 0.5000 0.9325  3 Ag 2.89-2.99, 2 Cd 2.98-3.02
7 Cd 0.3825 0.0000 0.0675  3 Ag 2.89-2.99, 2 Cd 2.98-3.02
8 Cd 0.5000 0.0000 0.5000  4 Ag 2.97, 2 Cd 3.02
9 Cd 0.6175 0.0000 0.9325  3 Ag 2.89-2.99, 2 Cd 2.98-3.02
10 Cd 0.8825 0.5000 0.0675  3 Ag 2.89-2.99, 2 Cd 2.98-3.02
11 Ag 0.1515 0.0000 0.7095  5 Cd 2.89-2.99, 4 Pr 3.13-3.23
12 Ag 0.3485 0.5000 0.2905  5 Cd 2.89-2.99, 4 Pr 3.13-3.23
13 Ag 0.6515 0.5000 0.7095  5 Cd 2.89-2.99, 4 Pr 3.13-3.23
14 Ag 0.8485 0.0000 0.2905  5 Cd 2.89-2.99, 4 Pr 3.13-3.23

## Properties
Energy relative to the elements ... -0.2958 eV per atom
Symmetry ... No. 12
Offset from the most stable computed form ... 0 meV per atom